ScRuCl | Alexandria via LeMat-Bulk | PBE | relaxed; formation energy (no corrections) = -0.408 eV per atom; energy above the most stable polymorph in this dataset = 124.0 meV/atom
1.0
0.0000 2.5316 6.9367
1.6968 0.0000 6.9367
1.6968 2.5316 0.0000
Sc Ru Cl
1 1 1
direct
0.0000 0.0000 0.0000
0.3631 0.3631 0.6369
0.6348 0.6348 0.3652